a.
Here is a relaxed Er3In4Hg2 crystal from the Alexandria database. Energies are from PBE.

**SG**: C2/m, No. 12
**Density**: 10.13 g/cm3

Geometry as POSCAR:
```
Er3In4Hg2
1.0
5.5794 -2.4572 0.0000
5.5794 2.4572 0.0000
-4.4205 0.0000 8.1462
Er In Hg
3 4 2
direct
0.0000 0.0000 0.0000 Er
0.3309 0.3309 0.3380 Er
0.6691 0.6691 0.6620 Er
0.0346 0.0346 0.3674 In
0.2812 0.2812 0.9442 In
0.7188 0.7188 0.0558 In
0.9654 0.9654 0.6326 In
0.3678 0.3678 0.6987 Hg
0.6322 0.6322 0.3013 Hg
```

---

b.
Here is a relaxed Er3In4Hg2 crystal from the Alexandria database. Energies are from PBE.

**SG**: P-62m, No. 189
**Density**: 9.95 g/cm3

Geometry as POSCAR:
```
Er3In4Hg2
1.0
7.6963 0.0000 0.0000
-3.8482 6.6652 0.0000
0.0000 0.0000 4.4305
Er In Hg
3 4 2
direct
0.0000 0.5903 0.0000 Er
0.4097 0.4097 0.0000 Er
0.5903 0.0000 0.0000 Er
0.0000 0.0000 0.0000 In
0.0000 0.2600 0.5000 In
0.2600 0.0000 0.5000 In
0.7400 0.7400 0.5000 In
0.3333 0.6667 0.5000 Hg
0.6667 0.3333 0.5000 Hg
```

---

Which structure is the most stable? The one labeled a.

---

a.
Here is a relaxed Er3InHg3 crystal from the Alexandria database. Energies are from PBE.

**SG**: P6_3/m, No. 176
**Density**: 11.22 g/cm3

Geometry as POSCAR:
```
Er3InHg3
1.0
9.0622 0.0000 0.0000
-4.5311 7.8481 0.0000
0.0000 0.0000 5.0692
Er In Hg
6 2 6
direct
0.1024 0.6545 0.2500 Er
0.3455 0.4479 0.2500 Er
0.4479 0.1024 0.7500 Er
0.5521 0.8976 0.2500 Er
0.6545 0.5521 0.7500 Er
0.8976 0.3455 0.7500 Er
0.3333 0.6667 0.7500 In
0.6667 0.3333 0.2500 In
0.0382 0.7978 0.7500 Hg
0.2022 0.2404 0.7500 Hg
0.2404 0.0382 0.2500 Hg
0.7596 0.9618 0.7500 Hg
0.7978 0.7596 0.2500 Hg
0.9618 0.2022 0.2500 Hg
```

---

b.
Here is a relaxed Er3InHg3 crystal from the Alexandria database. Energies are from PBE.

**SG**: C2/m, No. 12
**Density**: 10.92 g/cm3

Geometry as POSCAR:
```
Er3InHg3
1.0
5.0173 -5.0501 0.0000
5.0173 5.0501 0.0000
-0.0210 0.0000 7.3099
Er In Hg
6 2 6
direct
0.0357 0.4608 0.7515 Er
0.0470 0.0470 0.2540 Er
0.4608 0.0357 0.7515 Er
0.5392 0.9643 0.2485 Er
0.9530 0.9530 0.7460 Er
0.9643 0.5392 0.2485 Er
0.3350 0.3350 0.4548 In
0.6650 0.6650 0.5452 In
0.2466 0.7534 0.5000 Hg
0.2476 0.7524 0.0000 Hg
0.3152 0.3152 0.0424 Hg
0.6848 0.6848 0.9576 Hg
0.7524 0.2476 0.0000 Hg
0.7534 0.2466 0.5000 Hg
```

---

Which structure is the most stable? The one labeled a.

---

a.
Here is a relaxed ErInHg3 crystal from the Alexandria database. Energies are from PBE.

**SG**: C2/m, No. 12
**Density**: 10.71 g/cm3

Geometry as POSCAR:
```
ErInHg3
1.0
7.7604 -3.1790 0.0000
7.7604 3.1790 0.0000
-0.5665 0.0000 5.5568
Er In Hg
2 2 6
direct
0.1887 0.1887 0.3185 Er
0.8113 0.8113 0.6815 Er
0.3620 0.3620 0.7346 In
0.6380 0.6380 0.2654 In
0.0000 0.0000 0.0000 Hg
0.0000 0.0000 0.5000 Hg
0.0928 0.5989 0.1997 Hg
0.4011 0.9072 0.8003 Hg
0.5989 0.0928 0.1997 Hg
0.9072 0.4011 0.8003 Hg
```

---

b.
Here is a relaxed ErInHg3 crystal from the Alexandria database. Energies are from PBE.

**SG**: C2/m, No. 12
**Density**: 11.87 g/cm3

Geometry as POSCAR:
```
ErInHg3
1.0
8.9224 -2.2423 0.0000
8.9224 2.2423 0.0000
-2.1276 0.0000 6.1803
Er In Hg
2 2 6
direct
0.1062 0.1062 0.0614 Er
0.8938 0.8938 0.9386 Er
0.3040 0.3040 0.1651 In
0.6960 0.6960 0.8349 In
0.0945 0.0945 0.5526 Hg
0.2948 0.2948 0.6540 Hg
0.4950 0.4950 0.7585 Hg
0.5050 0.5050 0.2415 Hg
0.7052 0.7052 0.3460 Hg
0.9055 0.9055 0.4474 Hg
```

---

Which structure is the most stable? The one labeled b.

---

a.
Here is a relaxed ErTlInHg crystal from the Alexandria database. Energies are from PBE.

**SG**: F-43m, No. 216
**Density**: 11.05 g/cm3

Geometry as POSCAR:
```
ErTlInHg
1.0
0.0000 3.7240 3.7240
3.7240 0.0000 3.7240
3.7240 3.7240 0.0000
Er Tl In Hg
1 1 1 1
direct
0.0000 0.0000 0.0000 Er
0.2500 0.2500 0.2500 Tl
0.5000 0.5000 0.5000 In
0.7500 0.7500 0.7500 Hg
```

---

b.
Here is a relaxed ErTlInHg crystal from the Alexandria database. Energies are from PBE.

**SG**: Pmmm, No. 47
**Density**: 11.44 g/cm3

Geometry as POSCAR:
```
ErTlInHg
1.0
4.6099 0.0000 0.0000
0.0000 4.6113 0.0000
0.0000 0.0000 4.6907
Er Tl In Hg
1 1 1 1
direct
0.0000 0.0000 0.0000 Er
0.5000 0.5000 0.0000 Tl
0.5000 0.0000 0.5000 In
0.0000 0.5000 0.5000 Hg
```

---

Which structure is the most stable? The one labeled b.